## TlFeTeO6 (PBE with a Hubbard U)

Data for TlFeTeO6 after structural relaxation.

a b c (Å): 4.8794 4.8794 9.4919
angles (deg): 90.00 90.00 90.00
With the nearest neighbours (Å) after each atom.
Sites, in units of the cell vectors:
Tl1 0.5000 0.5000 0.4971  6 O 2.22-2.26
Tl2 0.0000 0.0000 0.9971  6 O 2.22-2.26
Fe1 0.5000 0.5000 0.1612  6 O 1.95-2.10
Fe2 0.0000 0.0000 0.6612  6 O 1.95-2.10
Te1 0.5000 0.5000 0.8306  6 O 1.93-2.00
Te2 0.0000 0.0000 0.3306  6 O 1.93-2.00
O1 0.1729 0.8271 0.4982  1 Fe 1.95, 1 Te 1.99
O2 0.8271 0.1729 0.4982  1 Fe 1.95, 1 Te 1.99
O3 0.3271 0.3271 0.9982  1 Fe 1.95, 1 Te 1.99
O4 0.6729 0.6729 0.9982  1 Fe 1.95, 1 Te 1.99
O5 0.1972 0.8028 0.1868  1 Te 1.93, 1 Fe 2.10
O6 0.8028 0.1972 0.1868  1 Te 1.93, 1 Fe 2.10
O7 0.3028 0.3028 0.6868  1 Te 1.93, 1 Fe 2.10
O8 0.6972 0.6972 0.6868  1 Te 1.93, 1 Fe 2.10
O9 0.7899 0.2101 0.8205  1 Te 2.00, 1 Fe 2.09, 1 Tl 2.22
O10 0.2101 0.7899 0.8205  1 Te 2.00, 1 Fe 2.09, 1 Tl 2.22
O11 0.7101 0.7101 0.3205  1 Te 2.00, 1 Fe 2.09, 1 Tl 2.22
O12 0.2899 0.2899 0.3205  1 Te 2.00, 1 Fe 2.09, 1 Tl 2.22

Values from the calculation:
The uncorrected energy is -98.0 eV per cell. The calculated density comes out at 7.1 g/cm³. The symmetry is P4_2nm.